# 1
# Ti6Ga3Ni

Crystalline Ti6Ga3Ni at its relaxed geometry (GGA-PBE, the Alexandria database).

The density of states at the Fermi level is 1.104 states/eV/atom. The formation enthalpy at 0 K comes out at -1.78 eV per formula unit. The total DFT energy (no corrections) comes out at -128.0 eV for the cell shown.

Unit cell a=5.0232 b=7.3283 c=10.2118 alpha=90.00 beta=117.61 gamma=90.00
Last column: nearest neighbours and their distance in Å.
Space group P2_1/c (No. 14)
Unique sites:
Ti: 0.0186 0.1623 0.4380  1 Ni 2.50, 3 Ga 2.57-2.74, 1 Ti 2.74
Ti: 0.3651 0.6799 0.4368  1 Ni 2.44, 1 Ga 2.57
Ti: 0.4131 0.0400 0.2587  1 Ni 2.31, 1 Ga 2.51
Ga: 0.0000 0.0000 0.0000  6 Ti 2.51-2.57
Ga: 0.1349 0.1251 0.7554  7 Ti 2.63-2.95
Ni: 0.5000 0.0000 0.5000  6 Ti 2.31-2.50

# 2
# Ca2TaIr

Crystalline Ca2TaIr at its relaxed geometry (GGA-PBE, the Alexandria database).

Its distance to the lowest polymorph of the same formula is 483.6 meV/atom. The density of states at the Fermi level is 0.947 states/eV/atom. The formation enthalpy at 0 K comes out at 1.57 eV per formula unit. The total DFT energy (no corrections) comes out at -23.1 eV for the cell shown.

Unit cell a=3.0829 b=4.9141 c=5.5961 alpha=90.00 beta=97.53 gamma=90.00
Last column: nearest neighbours and their distance in Å.
Space group P2/m (No. 10)
Unique sites:
Ca: 0.0587 0.0000 0.2618  2 Ca 2.74-2.91, 2 Ir 3.03
Ta: 0.5000 0.5000 0.0000  2 Ir 2.80, 2 Ta 3.08
Ir: 0.5000 0.5000 0.5000  2 Ta 2.80, 4 Ca 3.03, 2 Ir 3.08